# Ni2AgRh (PBE, relaxed)
# Magnetization (μB per cell): 4.00
# DOS(E_F) (states/eV per cell): 9.47
# Calculated formation energy (eV/atom): 0.255
data_Ni2AgRh
_chemical_formula_sum 'Ni4 Ag2 Rh2'
_cell_length_a 3.7401
_cell_length_b 3.7401
_cell_length_c 7.7627
_cell_angle_alpha 90.00
_cell_angle_beta 90.00
_cell_angle_gamma 90.00
_space_group_name_H-M_alt 'I -4 m 2'
_space_group_IT_number 119
_space_group_name_Hall 'I -4 -2'
loop_
_atom_site_label
_atom_site_type_symbol
_atom_site_fract_x
_atom_site_fract_y
_atom_site_fract_z
_atom_site_occupancy
Ni1 Ni 0.0000 0.0000 0.0000 1
Ni2 Ni 0.0000 0.5000 0.2500 1
Ag1 Ag 0.0000 0.0000 0.5000 1
Rh1 Rh 0.0000 0.5000 0.7500 1